A plane-wave DFT calculation with PBE-GGA was carried out for crystalline K3Tc at its relaxed geometry.

Spin magnetization: 0.85 μB per atom
Energy of formation from the pure elements: 1.19 eV/atom

Geometry as CIF:
```
data_K3Tc
_cell_length_a 3.5177
_cell_length_b 6.2470
_cell_length_c 7.6530
_cell_angle_alpha 90.00
_cell_angle_beta 90.00
_cell_angle_gamma 90.00
_symmetry_space_group_name_H-M 'P 1'
_symmetry_Int_Tables_number 1
loop_
_symmetry_equiv_pos_as_xyz
'x,y,z'
loop_
_atom_site_label
_atom_site_type_symbol
_atom_site_fract_x
_atom_site_fract_y
_atom_site_fract_z
K1 K 0.0000 0.0000 0.0000
K2 K 0.0000 0.5000 0.2974
K3 K 0.5000 0.0000 0.5682
Tc1 Tc 0.5000 0.5000 0.8098
```

***

A plane-wave DFT calculation with PBE-GGA was carried out for crystalline KTc5 at its relaxed geometry.

Spin magnetization: 0.00 μB per atom
Energy of formation from the pure elements: 0.70 eV/atom

Geometry as CIF:
```
data_KTc5
_cell_length_a 6.1852
_cell_length_b 6.1852
_cell_length_c 6.5173
_cell_angle_alpha 105.39
_cell_angle_beta 105.39
_cell_angle_gamma 25.69
_symmetry_space_group_name_H-M 'P 1'
_symmetry_Int_Tables_number 1
loop_
_symmetry_equiv_pos_as_xyz
'x,y,z'
loop_
_atom_site_label
_atom_site_type_symbol
_atom_site_fract_x
_atom_site_fract_y
_atom_site_fract_z
K1 K 0.0000 0.0000 0.0000
Tc1 Tc 0.0224 0.0224 0.5295
Tc2 Tc 0.3016 0.3016 0.1718
Tc3 Tc 0.3360 0.3360 0.5930
Tc4 Tc 0.6751 0.6751 0.3663
Tc5 Tc 0.7036 0.7036 0.7906
```

***

A plane-wave DFT calculation with PBE-GGA was carried out for crystalline K4Tc at its relaxed geometry.

Spin magnetization: 0.56 μB per atom
Energy of formation from the pure elements: 0.92 eV/atom

Geometry as CIF:
```
data_K4Tc
_cell_length_a 8.2652
_cell_length_b 8.2652
_cell_length_c 8.2652
_cell_angle_alpha 93.29
_cell_angle_beta 93.29
_cell_angle_gamma 152.27
_symmetry_space_group_name_H-M 'P 1'
_symmetry_Int_Tables_number 1
loop_
_symmetry_equiv_pos_as_xyz
'x,y,z'
loop_
_atom_site_label
_atom_site_type_symbol
_atom_site_fract_x
_atom_site_fract_y
_atom_site_fract_z
K1 K 0.0687 0.7483 0.8170
K2 K 0.2517 0.0687 0.3204
K3 K 0.7483 0.9313 0.6796
K4 K 0.9313 0.2517 0.1830
Tc1 Tc 0.5000 0.5000 0.0000
```